This record from Alexandria via LeMat-Bulk describes an optimized crystal structure of Sc2BeCo5B2. The functional is PBE-GGA.

The structure in POSCAR format:
```
Sc2BeCo5B2
1.0
8.6309 0.0000 0.0000
0.0000 8.6309 0.0000
0.0000 0.0000 2.8749
Sc Be Co B
4 2 10 4
Direct
0.1757 0.3243 0.0000
0.3243 0.8243 0.0000
0.6757 0.1757 0.0000
0.8243 0.6757 0.0000
0.0000 0.0000 0.0000
0.5000 0.5000 0.0000
0.0000 0.5000 0.5000
0.0670 0.7864 0.5000
0.2136 0.0670 0.5000
0.2864 0.5670 0.5000
0.4330 0.2864 0.5000
0.5000 0.0000 0.5000
0.5670 0.7136 0.5000
0.7136 0.4330 0.5000
0.7864 0.9330 0.5000
0.9330 0.2136 0.5000
0.1236 0.6236 0.0000
0.3764 0.1236 0.0000
0.6236 0.8764 0.0000
0.8764 0.3764 0.0000
```

SG ... P4/mbm (127)
DFT total energy ... -6.993 eV/atom
ΔH_f (0 K) ... -0.47 eV per atom
Total magnetization ... 0.00 μB per atom